A plane-wave DFT calculation with PBE was carried out for RuPt3Br after structural relaxation.

Output
Total moment ... 0.000 μB per atom
Calculated total energy ... -4.452 eV/atom
Raw formation energy ... 1362 meV per atom

```
data_RuPt3Br
_cell_length_a 4.8388
_cell_length_b 4.8388
_cell_length_c 4.8388
_cell_angle_alpha 90.00
_cell_angle_beta 90.00
_cell_angle_gamma 90.00
_symmetry_space_group_name_H-M 'P m -3 m'
_symmetry_Int_Tables_number 221
_symmetry_space_group_name_Hall '-P 4 2 3'
loop_
_atom_site_label
_atom_site_type_symbol
_atom_site_fract_x
_atom_site_fract_y
_atom_site_fract_z
Ru1 Ru 0.0000 0.0000 0.0000
Pt1 Pt 0.0000 0.0000 0.5000
Br1 Br 0.5000 0.5000 0.5000
```